This record from the Alexandria database describes a relaxed Cu5PPd4 crystal. The functional is PBE.

```
data_Cu5PPd4
_space_group_name_H-M_alt 'C 1 2/m 1'
_space_group_IT_number 12
_cell_length_a 12.047
_cell_length_b 2.814
_cell_length_c 8.467
_cell_angle_alpha 90.00
_cell_angle_beta 97.00
_cell_angle_gamma 90.00
loop_
_space_group_symop_operation_xyz
'x,y,z'
'-x,-y,-z'
'-x,y,-z'
'x,-y,z'
'x+1/2,y+1/2,z'
'-x+1/2,-y+1/2,-z'
'-x+1/2,y+1/2,-z'
'x+1/2,-y+1/2,z'
loop_
_atom_site_label
_atom_site_fract_x
_atom_site_fract_y
_atom_site_fract_z
_atom_site_occupancy
Cu1 0.000 0.000 0.000 1
Cu2 0.162 0.500 0.504 1
Cu3 0.166 0.500 0.973 1
P1 0.000 0.000 0.500 1
Pd1 0.015 0.500 0.732 1
Pd2 0.194 0.000 0.237 1
```

Calculated values
- N(E_F) (states/eV per cell) = 10.40
- energy relative to the elements (eV/atom) = -0.007
- energy (eV for the cell shown) = -93.5